Record 1
SiBO3 after structural relaxation, computed with GGA-PBE.

Properties
- space-group type = Pm-3m
- raw formation energy (eV/atom) = -0.565

```
SiBO3
1.0
3.338 0.000 0.000
0.000 3.338 0.000
0.000 0.000 3.338
Si B O
1 1 3
direct
0.000 0.000 0.000
0.500 0.500 0.500
0.000 0.500 0.500
0.500 0.000 0.500
0.500 0.500 0.000
```


Record 2
Li3Pd8 after structural relaxation, computed with GGA-PBE.

Properties
- space-group type = C2/m
- ΔH_f (0 K) (kJ/mol of atoms) = -24

```
Li3Pd8
1.0
4.375 -1.928 0.000
4.375 1.928 0.000
-2.546 0.000 9.589
Li Pd
3 8
direct
0.000 0.000 0.000
0.091 0.091 0.641
0.909 0.909 0.359
0.186 0.186 0.273
0.274 0.274 0.911
0.365 0.365 0.545
0.457 0.457 0.183
0.543 0.543 0.817
0.635 0.635 0.455
0.726 0.726 0.089
0.814 0.814 0.727
```


Record 3
PrNdEuY after structural relaxation, computed with GGA-PBE.

Properties
- space-group type = F-43m
- ΔH_f (0 K) (kJ/mol of atoms) = 14

```
PrNdEuY
1.0
0.000 4.158 4.158
4.158 0.000 4.158
4.158 4.158 0.000
Pr Nd Eu Y
1 1 1 1
direct
0.000 0.000 0.000
0.250 0.250 0.250
0.500 0.500 0.500
0.750 0.750 0.750
```


Record 4
Ba3YI after structural relaxation, computed with GGA-PBE.

Properties
- space-group type = Pm-3m
- raw formation energy (eV/atom) = 0.240

```
Ba3YI
1.0
6.589 0.000 0.000
0.000 6.589 0.000
0.000 0.000 6.589
Ba Y I
3 1 1
direct
0.000 0.000 0.500
0.000 0.500 0.000
0.500 0.000 0.000
0.000 0.000 0.000
0.500 0.500 0.500
```


| no. | DFT total energy (Ha/atom) |
| --- | --- |
| 1 | -0.2190 |
| 2 | -0.1670 |
| 3 | -0.2362 |
| 4 | -0.0925 |